No. 1
! Si2WCl, optimized geometry, DFT GGA-PBE; values from VASP
! * total DFT energy (no corrections): -24.43 eV per cell
! * formation energy from raw total energies: 0.305 eV per atom
! * energy above the most stable polymorph in this dataset: 0.071 eV per atom
! * SG: C2/m (12)
&SYSTEM
  ibrav = 0, nat = 4, ntyp = 3
/
ATOMIC_SPECIES
W 183.84 W.upf
Si 28.09 Si.upf
Cl 35.45 Cl.upf
ATOMIC_POSITIONS angstrom
W 2.942 1.078 4.633
Si 0.586 0.215 3.880
Cl 0.981 0.359 1.544
Si -2.626 -0.963 5.824
CELL_PARAMETERS angstrom
4.502 -0.022 -0.219
3.421 2.927 -0.219
-4.001 -1.467 6.615

No. 2
! Tm3As2Se2, optimized geometry, DFT GGA-PBE; values from VASP
! * total DFT energy (no corrections): -39.47 eV per cell
! * formation energy from raw total energies: -1.399 eV per atom
! * SG: C2/m (12)
&SYSTEM
  ibrav = 0, nat = 7, ntyp = 3
/
ATOMIC_SPECIES
Se 78.96 Se.upf
Tm 168.93 Tm.upf
As 74.92 As.upf
ATOMIC_POSITIONS angstrom
Se 2.011 2.602 4.755
Tm 0.000 3.554 -0.410
Tm 2.011 0.268 3.045
Tm 0.000 3.759 3.216
Se 0.000 1.425 1.506
As 2.011 4.677 1.289
As 0.000 -0.650 4.972
CELL_PARAMETERS angstrom
4.021 0.000 0.000
0.000 7.108 -0.821
-2.011 -3.082 7.081

No. 3
! Ac4Sb3N, optimized geometry, DFT GGA-PBE; values from VASP
! * total DFT energy (no corrections): -89.34 eV per cell
! * formation energy from raw total energies: -0.943 eV per atom
! * SG: Pmn2_1 (31)
&SYSTEM
  ibrav = 0, nat = 16, ntyp = 3
/
ATOMIC_SPECIES
Ac 227.00 Ac.upf
Sb 121.76 Sb.upf
N 14.01 N.upf
ATOMIC_POSITIONS angstrom
Ac 0.488 2.800 8.422
Sb 3.792 7.686 0.000
Ac 4.263 1.705 0.000
Ac 3.872 6.347 7.615
Ac 3.872 6.347 3.076
N 6.707 1.640 0.000
N 3.322 7.507 5.346
Sb 3.789 3.067 2.869
Ac 0.878 7.441 5.346
Ac 3.867 0.923 5.346
Ac 0.482 8.223 0.000
Sb 0.404 6.079 2.476
Sb 3.789 3.067 7.822
Sb 0.407 1.461 5.346
Sb 0.404 6.079 8.215
Ac 0.488 2.800 2.270
CELL_PARAMETERS angstrom
6.769 0.000 0.000
0.000 9.147 0.000
0.000 0.000 10.691

No. 4
! DyMgZn, optimized geometry, DFT GGA-PBE; values from VASP
! * formation energy: -0.06 eV per atom
! * total DFT energy (no corrections): -7.66 eV per cell
! * SG: F-43m (216)
&SYSTEM
  ibrav = 0, nat = 3, ntyp = 3
/
ATOMIC_SPECIES
Dy 162.50 Dy.upf
Mg 24.30 Mg.upf
Zn 65.41 Zn.upf
ATOMIC_POSITIONS angstrom
Dy 0.000 0.000 0.000
Mg -2.721 -2.011 4.720
Zn -1.360 -1.006 2.360
CELL_PARAMETERS angstrom
-1.755 1.165 4.249
-3.938 -2.105 1.597
0.250 -3.082 3.595

Q: Which value of total DFT energy (no corrections) does entry 4 give?
A: -7.66 eV per cell